# 1
DFT (PBE) results for a relaxed structure of HfZr.

Output
As for the distance to the lowest polymorph of the same formula: 0.00 eV/f.u.

a = 5.118 Å, b = 16.068 Å, c = 5.559 Å
α = 90.00°, β = 90.00°, γ = 90.00°
Space group Amm2 (No. 38)
Asymmetric unit:
Hf  0.000  0.000  0.000 x2
Hf  0.000  0.201  0.994 x4
Hf  0.500  0.202  0.665 x4
Zr  0.000  0.101  0.499 x4
Zr  0.500  0.000  0.664 x2
Zr  0.500  0.101  0.161 x4

# 2
DFT (PBE) results for a relaxed structure of HfZr.

Output
As for the distance to the lowest polymorph of the same formula: 0.00 eV/f.u.

a = 5.116 Å, b = 9.645 Å, c = 5.559 Å
α = 90.00°, β = 90.00°, γ = 90.00°
Space group Pmc2_1 (No. 26)
Asymmetric unit:
Hf  0.000  0.081  0.000 x2
Hf  0.500  0.082  0.330 x2
Hf  0.500  0.417  0.336 x2
Zr  0.000  0.247  0.496 x2
Zr  0.000  0.417  0.001 x2
Zr  0.500  0.249  0.835 x2

# 3
DFT (PBE) results for a relaxed structure of HfZr.

Output
As for the distance to the lowest polymorph of the same formula: 0.01 eV/f.u.

a = 6.4216 Å, b = 6.4216 Å, c = 5.1174 Å
α = 90.00°, β = 90.00°, γ = 120.00°
Space group P-6m2 (No. 187)
Asymmetric unit:
Hf  0.0000  0.0000  0.0000 x1
Hf  0.3318  0.1659  0.5000 x3
Zr  0.3333  0.6667  0.5000 x1
Zr  0.5008  0.0015  0.0000 x3

# 4
DFT (PBE) results for a relaxed structure of HfZr.

Output
As for the distance to the lowest polymorph of the same formula: 0.01 eV/f.u.

a = 5.118 Å, b = 6.425 Å, c = 5.561 Å
α = 90.00°, β = 90.00°, γ = 90.00°
Space group Pmm2 (No. 25)
Asymmetric unit:
Hf  0.000  0.000  0.000 x1
Hf  0.000  0.247  0.497 x2
Hf  0.500  0.000  0.329 x1
Zr  0.000  0.500  0.996 x1
Zr  0.500  0.247  0.830 x2
Zr  0.500  0.500  0.335 x1

# 5
DFT (PBE) results for a relaxed structure of HfZr.

Output
As for the distance to the lowest polymorph of the same formula: 5.05 eV/f.u.

a = 6.278 Å, b = 6.278 Å, c = 6.278 Å
α = 90.00°, β = 90.00°, γ = 90.00°
Space group F-43m (No. 216)
Asymmetric unit:
Hf  0.000  0.000  0.000 x4
Zr  0.250  0.250  0.750 x4

# 6
DFT (PBE) results for a relaxed structure of HfZr.

Output
As for the distance to the lowest polymorph of the same formula: 0.00 eV/f.u.

a = 5.117 Å, b = 9.643 Å, c = 5.558 Å
α = 90.00°, β = 90.00°, γ = 90.00°
Space group Pmc2_1 (No. 26)
Asymmetric unit:
Hf  0.000  0.083  0.000 x2
Hf  0.000  0.247  0.496 x2
Hf  0.500  0.249  0.166 x2
Zr  0.000  0.414  0.999 x2
Zr  0.500  0.083  0.666 x2
Zr  0.500  0.415  0.660 x2

no.,V (A^3/atom),ρ (g/cm3),calculated formation energy (eV/atom)
1,22.86,9.80,0.0011
2,22.86,9.80,0.0014
3,22.84,9.80,0.0036
4,22.85,9.80,0.0021
5,30.93,7.24,2.5231
6,22.85,9.80,0.0013